{"formula": "FeTcMo2", "functional": "PBE", "state": "relaxed", "dos_at_fermi_per_ev_cell": 4.4, "de_polymorph_mev_per_atom": 99, "lattice_angstrom": [[4.770, 0.001, 0.006], [3.985, 2.623, 0.006], [0.843, 0.253, 4.607]], "species": ["Fe", "Mo", "Mo", "Tc"], "frac_coords": [[0.755, 0.755, 0.756], [0.017, 0.017, 0.976], [0.247, 0.247, 0.261], [0.481, 0.481, 0.508]]}

{"formula": "Fe2TcMo", "functional": "PBE", "state": "relaxed", "dos_at_fermi_per_ev_cell": 3.3, "de_polymorph_mev_per_atom": 34, "lattice_angstrom": [[-3.347, -0.816, 3.591], [-0.080, -4.527, 2.066], [2.891, 3.947, -0.910]], "species": ["Fe", "Fe", "Mo", "Tc"], "frac_coords": [[0.000, 0.000, 0.000], [0.500, 0.500, 0.000], [0.750, 0.250, 0.500], [0.250, 0.750, 0.500]]}